Entry 1:
The following is a DFT calculation (PBE-GGA) of an optimized crystal structure of Al3SiNi3.

Values from the calculation:
Energy relative to the elements, uncorrected: -0.32 eV per atom
Calculated density: 5.305 g/cm³
Space group: No. 176

Structure (POSCAR):
```
Al3SiNi3
1.0
6.826 0.000 0.000
-3.413 5.912 0.000
0.000 0.000 4.423
Al Si Ni
6 2 6
direct
0.095 0.650 0.250
0.350 0.446 0.250
0.446 0.095 0.750
0.554 0.905 0.250
0.650 0.554 0.750
0.905 0.350 0.750
0.333 0.667 0.750
0.667 0.333 0.250
0.058 0.796 0.750
0.204 0.263 0.750
0.263 0.058 0.250
0.737 0.942 0.750
0.796 0.737 0.250
0.942 0.204 0.250
```

=====

Entry 2:
The following is a DFT calculation (PBE-GGA) of an optimized crystal structure of Nd2DyScAs4.

Values from the calculation:
Formation energy: -1.456 eV/atom
Calculated density: 6.573 g/cm³
Space group: No. 10

Structure (POSCAR):
```
Nd2DyScAs4
1.0
7.161 0.000 0.000
0.000 4.149 0.000
-2.399 0.000 6.764
Nd Dy Sc As
2 1 1 4
direct
0.000 0.000 0.000
0.000 0.500 0.500
0.500 0.000 0.500
0.500 0.500 0.000
0.264 0.500 0.248
0.269 0.000 0.763
0.731 0.000 0.237
0.736 0.500 0.752
```

=====

Entry 3:
The following is a DFT calculation (PBE-GGA) of an optimized crystal structure of TbPm2Er.

Values from the calculation:
Formation energy: 0.123 eV/atom
Calculated density: 7.739 g/cm³
Space group: No. 225

Structure (POSCAR):
```
TbPm2Er
1.0
0.000 4.043 4.043
4.043 0.000 4.043
4.043 4.043 0.000
Tb Pm Er
1 2 1
direct
0.000 0.000 0.000
0.250 0.250 0.250
0.750 0.750 0.750
0.500 0.500 0.500
```

=====

> Which of these has the lowest calculated density?

Al3SiNi3